Here is DyBeNi after structural relaxation from Alexandria. Energies are from PBE-GGA.

Values from the calculation:
V	218	Å³ per cell
DOS(E_F)	8.6	states/eV/cell
calculated total energy	-4.691	eV per atom
ΔE to the lowest computed polymorph	0.291	eV per atom
space-group type	P4_12_12 (92)
mass density	7.02	Mg/m³

a = 6.283 Å, b = 6.283 Å, c = 5.515 Å
α = 90.00°, β = 90.00°, γ = 90.00°
Fractional positions:
1 Dy 0.223 0.223 0.000
2 Dy 0.277 0.723 0.250
3 Dy 0.723 0.277 0.750
4 Dy 0.777 0.777 0.500
5 Be 0.105 0.105 0.500
6 Be 0.395 0.605 0.750
7 Be 0.605 0.395 0.250
8 Be 0.895 0.895 0.000
9 Ni 0.152 0.848 0.750
10 Ni 0.348 0.348 0.500
11 Ni 0.652 0.652 0.000
12 Ni 0.848 0.152 0.250

Here is Dy2BeNi4P3 after structural relaxation from Alexandria. Energies are from PBE-GGA.

Values from the calculation:
V	138	Å³ per cell
DOS(E_F)	4.7	states/eV/cell
calculated total energy	-6.187	eV per atom
space-group type	P-4m2 (115)
mass density	7.96	Mg/m³

a = 3.857 Å, b = 3.857 Å, c = 9.280 Å
α = 90.00°, β = 90.00°, γ = 90.00°
Fractional positions:
1 Dy 0.000 0.500 0.247
2 Dy 0.500 0.000 0.753
3 Be 0.500 0.500 0.000
4 Ni 0.000 0.000 0.500
5 Ni 0.000 0.500 0.879
6 Ni 0.500 0.000 0.121
7 Ni 0.500 0.500 0.500
8 P 0.000 0.000 0.000
9 P 0.000 0.500 0.638
10 P 0.500 0.000 0.362

Here is Dy2BeNi3P4 after structural relaxation from Alexandria. Energies are from PBE-GGA.

Values from the calculation:
V	143	Å³ per cell
DOS(E_F)	3.4	states/eV/cell
calculated total energy	-6.080	eV per atom
space-group type	P-4m2 (115)
mass density	7.38	Mg/m³

a = 3.934 Å, b = 3.934 Å, c = 9.225 Å
α = 90.00°, β = 90.00°, γ = 90.00°
Fractional positions:
1 Dy 0.000 0.500 0.247
2 Dy 0.500 0.000 0.753
3 Be 0.000 0.000 0.500
4 Ni 0.000 0.500 0.879
5 Ni 0.500 0.000 0.121
6 Ni 0.500 0.500 0.500
7 P 0.000 0.000 0.000
8 P 0.000 0.500 0.633
9 P 0.500 0.000 0.367
10 P 0.500 0.500 0.000

Here is PmDyBeNi after structural relaxation from Alexandria. Energies are from PBE-GGA.

Values from the calculation:
V	82	Å³ per cell
DOS(E_F)	2.8	states/eV/cell
calculated total energy	-4.789	eV per atom
space-group type	F-43m (216)
mass density	7.62	Mg/m³

a = 4.871 Å, b = 4.871 Å, c = 4.871 Å
α = 60.00°, β = 60.00°, γ = 60.00°
Fractional positions:
1 Pm 0.000 0.000 0.000
2 Dy 0.500 0.500 0.500
3 Be 0.250 0.250 0.250
4 Ni 0.750 0.750 0.750

Here is Dy2Be3NiPt4 after structural relaxation from Alexandria. Energies are from PBE-GGA.

Values from the calculation:
V	157	Å³ per cell
DOS(E_F)	5.5	states/eV/cell
calculated total energy	-5.893	eV per atom
space-group type	P-4m2 (115)
mass density	12.59	Mg/m³

a = 3.986 Å, b = 3.986 Å, c = 9.886 Å
α = 90.00°, β = 90.00°, γ = 90.00°
Fractional positions:
1 Dy 0.000 0.500 0.249
2 Dy 0.500 0.000 0.751
3 Be 0.000 0.000 0.000
4 Be 0.000 0.500 0.622
5 Be 0.500 0.000 0.378
6 Ni 0.500 0.500 0.000
7 Pt 0.000 0.000 0.500
8 Pt 0.000 0.500 0.852
9 Pt 0.500 0.000 0.148
10 Pt 0.500 0.500 0.500

Here is DyBe4NiPt2 after structural relaxation from Alexandria. Energies are from PBE-GGA.

Values from the calculation:
V	104	Å³ per cell
DOS(E_F)	3.1	states/eV/cell
calculated total energy	-5.325	eV per atom
space-group type	R-3m (166)
mass density	10.35	Mg/m³

a = 8.261 Å, b = 8.261 Å, c = 8.261 Å
α = 27.20°, β = 27.20°, γ = 27.20°
Fractional positions:
1 Dy 0.000 0.000 0.000
2 Be 0.135 0.135 0.135
3 Be 0.410 0.410 0.410
4 Be 0.590 0.590 0.590
5 Be 0.865 0.865 0.865
6 Ni 0.500 0.500 0.500
7 Pt 0.236 0.236 0.236
8 Pt 0.764 0.764 0.764